No. 1
Below is crystalline YRe2Pb at its relaxed geometry, with properties calculated at the GGA-PBEsol level.

Unit cell a=3.545 b=3.545 c=6.143 alpha=90.00 beta=90.00 gamma=90.00
Sites, in units of the cell vectors:
Y 0.500 0.500 0.000
Re 0.000 0.000 0.722
Pb 0.500 0.500 0.500
Re 0.000 0.000 0.278

Values from the calculation:
Symmetry: No. 123
Energy relative to the elements: 770 meV/atom
DOS at the Fermi energy: 4.426 states/eV per cell
DFT total energy: -8.601 eV per atom



No. 2
Below is crystalline CaMn3Ni at its relaxed geometry, with properties calculated at the GGA-PBEsol level.

Unit cell a=4.558 b=4.558 c=4.558 alpha=90.00 beta=90.00 gamma=90.00
Each line ends with the local moment (μB).
Sites, in units of the cell vectors:
Mn 0.000 0.000 0.500  3.67
Mn 0.500 0.000 0.000  3.67
Mn 0.000 0.500 0.000  3.67
Ca 0.500 0.500 0.500  -0.05
Ni 0.000 0.000 0.000  0.78

Values from the calculation:
Symmetry: No. 221
Energy relative to the elements: 717 meV/atom
DOS at the Fermi energy: 5.064 states/eV per cell
Energy above the lowest structure with this stoichiometry: 0.000 eV per atom
DFT total energy: -6.798 eV per atom



Which value of energy relative to the elements does entry 1 give? 770 meV/atom



Which value of DOS at the Fermi energy does entry 1 give? 4.426 states/eV per cell



Which of these has the lowest DOS at the Fermi energy? YRe2Pb